# Li2VRh2

A geometry-optimized Li2VRh2 structure (GGA-PBE, Alexandria via LeMat-Bulk).

abc: 6.5542 6.5542 2.8895
angles: 90.00 90.00 90.00
Sites, in units of the cell vectors:
Li: 0.1097 0.3903 0.0000
Li: 0.3903 0.8903 0.0000
Li: 0.6097 0.1097 0.0000
Li: 0.8903 0.6097 0.0000
V: 0.0000 0.0000 0.0000
V: 0.5000 0.5000 0.0000
Rh: 0.1925 0.6925 0.5000
Rh: 0.3075 0.1925 0.5000
Rh: 0.6925 0.8075 0.5000
Rh: 0.8075 0.3075 0.5000

formation energy	-8	meV/atom
crystal system	tetragonal
space-group type	P4/mbm (127)
energy above the most stable polymorph in this dataset	0.000	eV/atom

---

# Li3VRh

A geometry-optimized Li3VRh structure (GGA-PBE, Alexandria via LeMat-Bulk).

abc: 4.4882 4.4882 4.4882
angles: 90.00 90.00 90.00
Sites, in units of the cell vectors:
Li: 0.0000 0.0000 0.5000
Li: 0.0000 0.5000 0.0000
Li: 0.5000 0.0000 0.0000
V: 0.5000 0.5000 0.5000
Rh: 0.0000 0.0000 0.0000

formation energy	734	meV/atom
crystal system	cubic
space-group type	Pm-3m (221)
energy above the most stable polymorph in this dataset	0.000	eV/atom

---

# Li2YVRh

A geometry-optimized Li2YVRh structure (GGA-PBE, Alexandria via LeMat-Bulk).

abc: 4.6373 4.6373 4.5857
angles: 90.00 90.00 90.00
Sites, in units of the cell vectors:
Li: 0.0000 0.5000 0.0000
Li: 0.5000 0.0000 0.0000
Y: 0.0000 0.0000 0.5000
V: 0.5000 0.5000 0.5000
Rh: 0.5000 0.5000 0.0000

formation energy	215	meV/atom
crystal system	tetragonal
space-group type	P4/mmm (123)

---

# LiZrVRh2

A geometry-optimized LiZrVRh2 structure (GGA-PBE, Alexandria via LeMat-Bulk).

abc: 4.8178 4.8178 4.9098
angles: 90.00 90.00 90.00
Sites, in units of the cell vectors:
Li: 0.0000 0.0000 0.0000
Zr: 0.5000 0.5000 0.5000
V: 0.5000 0.5000 0.0000
Rh: 0.0000 0.5000 0.5000
Rh: 0.5000 0.0000 0.5000

formation energy	999	meV/atom
crystal system	tetragonal
space-group type	P4/mmm (123)

---

# LiRh4W

A geometry-optimized LiRh4W structure (GGA-PBE, Alexandria via LeMat-Bulk).

abc: 5.0538 5.0538 5.0538
angles: 60.00 60.00 60.00
Sites, in units of the cell vectors:
Li: 0.0000 0.0000 0.0000
Rh: 0.1236 0.6255 0.6255
Rh: 0.6255 0.1236 0.6255
Rh: 0.6255 0.6255 0.1236
Rh: 0.6255 0.6255 0.6255
W: 0.2500 0.2500 0.2500

formation energy	163	meV/atom
crystal system	cubic
space-group type	F-43m (216)
energy above the most stable polymorph in this dataset	0.233	eV/atom

---

# LiRh2W

A geometry-optimized LiRh2W structure (GGA-PBE, Alexandria via LeMat-Bulk).

abc: 5.5237 5.5237 5.5237
angles: 104.71 104.71 119.47
Sites, in units of the cell vectors:
Li: 0.0000 0.0000 0.0000
Li: 0.7500 0.2500 0.5000
Rh: 0.1387 0.6250 0.0137
Rh: 0.3750 0.3887 0.5137
Rh: 0.6113 0.1250 0.9863
Rh: 0.8750 0.8613 0.4863
W: 0.2500 0.7500 0.5000
W: 0.5000 0.5000 0.0000

formation energy	328	meV/atom
crystal system	tetragonal
space-group type	I-42d (122)

---

# Li2RhW

A geometry-optimized Li2RhW structure (GGA-PBE, Alexandria via LeMat-Bulk).

abc: 2.6898 4.1572 5.4323
angles: 90.00 100.90 90.00
Sites, in units of the cell vectors:
Li: 0.0000 0.0000 0.0000
Li: 0.3077 0.5000 0.8150
Rh: 0.9499 0.5000 0.3077
W: 0.5476 0.0000 0.4792

formation energy	142	meV/atom
crystal system	monoclinic
space-group type	Pm (6)
energy above the most stable polymorph in this dataset	0.020	eV/atom

---

# LiRh2W

A geometry-optimized LiRh2W structure (GGA-PBE, Alexandria via LeMat-Bulk).

abc: 4.7928 4.7928 4.6178
angles: 99.35 99.35 33.39
Sites, in units of the cell vectors:
Li: 0.0000 0.0000 0.0000
Rh: 0.2501 0.2501 0.8373
Rh: 0.5178 0.5178 0.5097
W: 0.7702 0.7702 0.3305

formation energy	-72	meV/atom
crystal system	monoclinic
space-group type	Cm (8)

---

# LiRh2W

A geometry-optimized LiRh2W structure (GGA-PBE, Alexandria via LeMat-Bulk).

abc: 4.3043 4.3043 4.3043
angles: 60.00 60.00 60.00
Sites, in units of the cell vectors:
Li: 0.0000 0.0000 0.0000
Rh: 0.5000 0.5000 0.5000
Rh: 0.7500 0.7500 0.7500
W: 0.2500 0.2500 0.2500

formation energy	249	meV/atom
crystal system	cubic
space-group type	F-43m (216)

---

# LiRh2W

A geometry-optimized LiRh2W structure (GGA-PBE, Alexandria via LeMat-Bulk).

abc: 2.6772 2.6772 9.2226
angles: 90.00 90.00 115.31
Sites, in units of the cell vectors:
Li: 0.0000 0.0000 0.0000
Rh: 0.0000 0.0000 0.4879
Rh: 0.5000 0.5000 0.2316
W: 0.5000 0.5000 0.7277

formation energy	178	meV/atom
crystal system	orthorhombic
space-group type	Cmm2 (35)

---

# LiRh2W

A geometry-optimized LiRh2W structure (GGA-PBE, Alexandria via LeMat-Bulk).

abc: 4.8791 4.8791 4.8791
angles: 135.81 135.81 64.28
Sites, in units of the cell vectors:
Li: 0.0000 0.0000 0.0000
Rh: 0.2500 0.7500 0.5000
Rh: 0.5000 0.5000 0.0000
W: 0.7500 0.2500 0.5000

formation energy	-51	meV/atom
crystal system	tetragonal
space-group type	I-4m2 (119)

---

# Li2RhW

A geometry-optimized Li2RhW structure (GGA-PBE, Alexandria via LeMat-Bulk).

abc: 2.6595 4.3499 4.9723
angles: 90.00 90.00 90.00
Sites, in units of the cell vectors:
Li: 0.0000 0.0000 0.2377
Li: 0.0000 0.0000 0.7623
Rh: 0.5000 0.5000 0.0000
W: 0.5000 0.5000 0.5000

formation energy	257	meV/atom
crystal system	orthorhombic
space-group type	Pmmm (47)
energy above the most stable polymorph in this dataset	0.135	eV/atom

---

Number 1: total magnetization 2.03 μB/cell, D(E_F) 7.1 states/eV per cell. Number 2: total magnetization 3.76 μB/cell, D(E_F) 6.5 states/eV per cell. Number 3: total magnetization 1.99 μB/cell, D(E_F) 3.9 states/eV per cell. Number 4: total magnetization 2.69 μB/cell, D(E_F) 5.7 states/eV per cell. Number 5: total magnetization 0.00 μB/cell, D(E_F) 2.6 states/eV per cell. Number 6: total magnetization 0.00 μB/cell, D(E_F) 2.2 states/eV per cell. Number 7: total magnetization 0.00 μB/cell, D(E_F) 3.0 states/eV per cell. Number 8: total magnetization 0.00 μB/cell, D(E_F) 3.4 states/eV per cell. Number 9: total magnetization 0.00 μB/cell, D(E_F) 5.1 states/eV per cell. Number 10: total magnetization 0.45 μB/cell, D(E_F) 4.2 states/eV per cell. Number 11: total magnetization 0.00 μB/cell, D(E_F) 2.4 states/eV per cell. Number 12: total magnetization 0.00 μB/cell, D(E_F) 2.8 states/eV per cell.